Ba2HgPb after structural relaxation, computed with GGA-PBE.

Cell lengths 8.502, 8.554, 8.531 Å; angles 90.00, 90.00, 90.00 degrees
Sites, in units of the cell vectors:
Ba 0.000 0.000 0.243
Ba 0.000 0.500 0.243
Ba 0.500 0.000 0.257
Ba 0.500 0.500 0.257
Ba 0.500 0.000 0.743
Ba 0.500 0.500 0.743
Ba 0.000 0.000 0.757
Ba 0.000 0.500 0.757
Hg 0.738 0.250 0.000
Hg 0.262 0.750 0.000
Hg 0.762 0.250 0.500
Hg 0.238 0.750 0.500
Pb 0.264 0.250 0.000
Pb 0.736 0.750 0.000
Pb 0.236 0.250 0.500
Pb 0.764 0.750 0.500

Computed properties:
For the calculated total energy, the calculation gives -40.07 eV for the cell shown. For the energy above the lowest structure with this stoichiometry, the calculation gives 51 meV/atom. The theoretical density comes out at 7.31 g cm⁻³. Its crystal system is orthorhombic. Its symmetry is Imma, No. 74. The volume is 620 Å³/cell.